Record 1
Here is a relaxed structure of VGaGeMo2 from the Alexandria database. Energies are from PBE-GGA.

```
VGaGeMo2
1.0
-3.182 2.790 -1.622
-2.338 -3.665 -1.718
-2.297 -0.358 3.891
Mo Ga V Ge
2 1 1 1
direct
0.000 0.000 0.500 Mo
0.500 0.000 0.000 Mo
0.000 0.500 0.000 Ga
0.000 0.000 0.000 V
0.500 0.500 0.500 Ge
```

Energy of formation   111 kJ/mol of atoms

Record 2
Here is a relaxed structure of Tm3Si3Os2 from the Alexandria database. Energies are from PBE-GGA.

```
Tm3Si3Os2
1.0
5.607 0.000 0.000
0.000 7.950 0.000
0.000 0.000 13.880
Os Tm Si
8 12 12
direct
0.891 0.093 0.090 Os
0.391 0.407 0.910 Os
0.609 0.593 0.410 Os
0.109 0.907 0.590 Os
0.391 0.407 0.590 Os
0.109 0.907 0.910 Os
0.609 0.593 0.090 Os
0.891 0.093 0.410 Os
0.382 0.945 0.114 Tm
0.618 0.055 0.886 Tm
0.629 0.301 0.250 Tm
0.871 0.801 0.250 Tm
0.371 0.699 0.750 Tm
0.118 0.445 0.114 Tm
0.118 0.445 0.386 Tm
0.382 0.945 0.386 Tm
0.129 0.199 0.750 Tm
0.882 0.555 0.614 Tm
0.882 0.555 0.886 Tm
0.618 0.055 0.614 Tm
0.597 0.354 0.750 Si
0.861 0.810 0.040 Si
0.861 0.810 0.460 Si
0.903 0.854 0.750 Si
0.139 0.190 0.540 Si
0.361 0.690 0.540 Si
0.139 0.190 0.960 Si
0.097 0.146 0.250 Si
0.639 0.310 0.460 Si
0.403 0.646 0.250 Si
0.361 0.690 0.960 Si
0.639 0.310 0.040 Si
```

ΔE_f (raw)   -0.7611 eV/atom

Record 3
Here is a relaxed structure of RbSeF2 from the Alexandria database. Energies are from PBE-GGA.

```
RbSeF2
1.0
5.014 0.000 0.000
0.000 5.014 0.000
2.507 2.507 7.369
Rb Se F
2 2 4
direct
0.750 0.250 0.500 Rb
0.000 0.000 0.000 Rb
0.250 0.750 0.500 Se
0.500 0.500 0.000 Se
0.499 0.125 0.250 F
0.875 0.749 0.750 F
0.251 0.625 0.250 F
0.375 0.501 0.750 F
```

ΔE_f (raw)   -1.2995 eV/atom

Record 4
Here is a relaxed structure of Pm2ScTlO from the Alexandria database. Energies are from PBE-GGA.

```
Pm2ScTlO
1.0
4.450 0.000 0.000
0.000 5.001 0.000
0.000 0.000 5.001
Pm Tl Sc O
2 1 1 1
direct
0.000 0.000 0.500 Pm
0.000 0.500 0.000 Pm
0.500 0.500 0.500 Tl
0.500 0.000 0.000 Sc
0.000 0.000 0.000 O
```

ΔE_f (raw)   -1.3484 eV/atom

Record 5
Here is a relaxed structure of Ti2Al2Pd from the Alexandria database. Energies are from PBE-GGA.

```
Ti2Al2Pd
1.0
-1.277 0.406 -2.587
-6.803 -1.817 3.073
-1.185 7.388 1.745
Ti Al Pd
4 4 2
direct
0.000 0.115 0.615 Ti
0.000 0.385 0.115 Ti
0.000 0.615 0.885 Ti
0.000 0.885 0.385 Ti
0.500 0.684 0.184 Al
0.500 0.816 0.684 Al
0.500 0.184 0.316 Al
0.500 0.316 0.816 Al
0.000 0.500 0.500 Pd
0.000 0.000 0.000 Pd
```

Energy of formation   -5 kJ/mol of atoms

Record 6
Here is a relaxed structure of CsHg2Pb from the Alexandria database. Energies are from PBE-GGA.

```
CsHg2Pb
1.0
6.166 0.000 0.000
0.000 6.166 0.000
3.083 3.083 10.229
Hg Cs Pb
4 2 2
direct
0.875 0.070 0.750 Hg
0.375 0.180 0.750 Hg
0.930 0.625 0.250 Hg
0.820 0.125 0.250 Hg
0.250 0.750 0.500 Cs
0.500 0.500 0.000 Cs
0.000 0.000 0.000 Pb
0.750 0.250 0.500 Pb
```

Energy of formation   -8 kJ/mol of atoms

Record 7
Here is a relaxed structure of BeTl2Ge2 from the Alexandria database. Energies are from PBE-GGA.

```
BeTl2Ge2
1.0
5.126 0.000 0.000
0.000 5.126 0.000
2.563 2.563 5.107
Tl Be Ge
2 1 2
direct
0.750 0.250 0.500 Tl
0.250 0.750 0.500 Tl
0.000 0.000 0.000 Be
0.618 0.618 0.763 Ge
0.382 0.382 0.237 Ge
```

Energy of formation   78 kJ/mol of atoms

Record 8
Here is a relaxed structure of CdInCo from the Alexandria database. Energies are from PBE-GGA.

```
CdInCo
1.0
5.898 -0.133 0.141
5.128 2.917 0.144
0.770 0.191 3.043
Cd In Co
1 1 1
direct
0.978 0.978 0.022 Cd
0.695 0.695 0.305 In
0.328 0.328 0.672 Co
```

Energy of formation   21 kJ/mol of atoms